LaPr6Hg2 PBE optimized geometry; size of the total moment = 0.000 μB/atom; Fermi-level density of states = 1.16 states/eV per atom; uncorrected energy = -4.013 eV/atom; calculated volume = 33.33 Å³ per atom
1.0
6.5704 -1.9328 0.0000
6.5704 1.9328 0.0000
-3.9363 0.0000 11.8113
La Pr Hg
1 6 2
Cartesian
0.0000 0.0000 0.0000
-1.0355 0.0000 3.9848
2.4814 0.0000 4.8707
3.6459 0.0000 1.4748
5.5585 0.0000 10.3365
6.7231 0.0000 6.9405
10.2400 0.0000 7.8265
1.5164 0.0000 9.3899
7.6881 0.0000 2.4214

=====

La4PrHg5 PBE optimized geometry; size of the total moment = 0.200 μB/atom; Fermi-level density of states = 1.17 states/eV per atom; uncorrected energy = -3.095 eV/atom; calculated volume = 29.71 Å³ per atom
1.0
3.9121 0.0000 0.0000
0.0000 3.9121 0.0000
0.0000 0.0000 19.4112
La Pr Hg
4 1 5
Cartesian
0.0000 0.0000 1.9543
0.0000 0.0000 5.8578
0.0000 0.0000 13.5534
0.0000 0.0000 17.4569
0.0000 0.0000 9.7056
1.9561 1.9561 0.0000
1.9561 1.9561 3.9029
1.9561 1.9561 7.8145
1.9561 1.9561 11.5967
1.9561 1.9561 15.5083

=====

La3Pr2Hg4 PBE optimized geometry; size of the total moment = 0.056 μB/atom; Fermi-level density of states = 1.18 states/eV per atom; uncorrected energy = -3.243 eV/atom; calculated volume = 30.15 Å³ per atom
1.0
4.7149 -2.7253 0.0000
4.7149 2.7253 0.0000
-0.0119 0.0000 10.5575
La Pr Hg
3 2 4
Cartesian
0.0000 0.0000 0.0000
3.1361 0.0000 6.1191
6.2817 0.0000 4.4384
3.1403 0.0000 2.2083
6.2775 0.0000 8.3492
-0.0026 0.0000 3.6280
9.4205 0.0000 6.9295
3.1328 0.0000 9.4359
6.2850 0.0000 1.1217

=====

LaPrHg4 PBE optimized geometry; size of the total moment = 0.000 μB/atom; Fermi-level density of states = 0.68 states/eV per atom; uncorrected energy = -2.284 eV/atom; calculated volume = 26.55 Å³ per atom
1.0
4.3621 -4.3918 0.0000
4.3621 4.3918 0.0000
-2.9573 0.0000 4.1570
La Pr Hg
1 1 4
Cartesian
0.0000 0.0000 0.0000
2.8835 0.0000 2.0785
-0.0378 1.4667 3.1167
-0.0378 -1.4667 3.1167
5.8048 1.4667 1.0402
5.8048 -1.4667 1.0402

=====

La3Pr6Hg PBE optimized geometry; size of the total moment = 0.000 μB/atom; Fermi-level density of states = 1.67 states/eV per atom; uncorrected energy = -4.345 eV/atom; calculated volume = 35.99 Å³ per atom
1.0
12.0535 0.0000 0.0000
0.0000 3.6966 0.0000
-0.1166 0.0000 16.1542
La Pr Hg
6 12 2
Cartesian
1.3802 0.9241 4.2343
4.4461 2.7724 5.4842
4.4400 2.7724 15.3888
7.4969 0.9241 0.7654
7.4909 0.9241 10.6701
10.5568 2.7724 11.9199
1.4753 0.9241 0.2963
1.4421 2.7724 7.5276
1.4321 0.9241 10.8966
4.4674 0.9241 2.3330
4.3979 2.7724 11.8342
4.4404 0.9241 8.7080
7.4965 2.7724 7.4463
7.5391 0.9241 4.3200
7.4696 2.7724 13.8212
10.5049 2.7724 5.2576
10.4949 0.9241 8.6266
10.4616 2.7724 15.8579
1.3836 2.7724 13.7037
10.5534 0.9241 2.4506

=====

La3PrHg4 PBE optimized geometry; size of the total moment = 0.193 μB/atom; Fermi-level density of states = 1.27 states/eV per atom; uncorrected energy = -3.089 eV/atom; calculated volume = 29.67 Å³ per atom
1.0
3.9000 0.0000 0.0000
0.0000 3.9000 0.0000
0.0000 0.0000 15.6077
La Pr Hg
3 1 4
Cartesian
0.0000 0.0000 0.0000
0.0000 0.0000 3.9338
0.0000 0.0000 11.6739
0.0000 0.0000 7.8038
1.9500 1.9500 1.9617
1.9500 1.9500 5.9003
1.9500 1.9500 9.7074
1.9500 1.9500 13.6460

=====

La5Pr2Hg PBE optimized geometry; size of the total moment = 0.000 μB/atom; Fermi-level density of states = 1.28 states/eV per atom; uncorrected energy = -4.399 eV/atom; calculated volume = 33.69 Å³ per atom
1.0
5.1096 -5.1385 0.0000
5.1096 5.1385 0.0000
-5.1076 0.0000 5.1325
La Pr Hg
5 2 1
Cartesian
0.0000 0.0000 0.0000
2.5526 2.5675 0.0006
2.5526 -2.5675 0.0006
2.5610 0.0000 2.5715
7.6536 0.0000 2.5565
-0.0009 2.5619 2.5676
-0.0009 -2.5619 2.5676
-0.0040 0.0000 5.1305

=====

LaPr6Hg PBE optimized geometry; size of the total moment = 0.000 μB/atom; Fermi-level density of states = 1.37 states/eV per atom; uncorrected energy = -4.270 eV/atom; calculated volume = 34.76 Å³ per atom
1.0
4.8773 2.8159 3.3748
-4.8773 2.8159 3.3748
0.0000 -5.6318 3.3748
La Pr Hg
1 6 1
Cartesian
0.0000 0.0000 0.0000
-1.0122 -2.1829 2.9254
-1.3844 1.9680 2.9254
-2.3965 -0.2149 7.1989
2.3965 0.2149 2.9254
1.3844 -1.9680 7.1989
1.0121 2.1829 7.1989
0.0000 0.0000 5.0621